(1)
K2BaCdOs | GGA-PBE | relaxed

Lattice parameters (Å, degrees): 6.1035 6.1035 5.3417 90.00 90.00 90.00
With the nearest neighbours (Å) after each atom.
Fractional coordinates of all 5 atoms:
K: 0.0000 0.5000 0.0000  2 Cd 3.05
K: 0.5000 0.0000 0.0000  2 Cd 3.05
Ba: 0.0000 0.0000 0.5000  8 K 4.06, 4 Os 4.32
Cd: 0.5000 0.5000 0.0000  2 Os 2.67
Os: 0.5000 0.5000 0.5000  2 Cd 2.67

Summary:
Energy of formation in kJ per mole of atoms: 93.2
Magnetization in μB per cell: 0.88
SG: No. 123

***

(2)
KBaCd2Pb | GGA-PBE | relaxed

Lattice parameters (Å, degrees): 6.0367 6.0367 6.5897 90.00 90.00 90.00
With the nearest neighbours (Å) after each atom.
Fractional coordinates of all 5 atoms:
K: 0.0000 0.0000 0.0000  4 Ba 4.27, 8 Cd 4.47
Ba: 0.5000 0.5000 0.0000  2 Pb 3.29
Cd: 0.0000 0.5000 0.5000  2 Pb 3.02
Cd: 0.5000 0.0000 0.5000  2 Pb 3.02
Pb: 0.5000 0.5000 0.5000  4 Cd 3.02, 2 Ba 3.29

Summary:
Energy of formation in kJ per mole of atoms: 11.4
Magnetization in μB per cell: 0.00
SG: No. 123

***

(3)
KBaCdPb | GGA-PBE | relaxed

Lattice parameters (Å, degrees): 5.9899 5.9899 5.9899 60.00 60.00 60.00
With the nearest neighbours (Å) after each atom.
Fractional coordinates of all 4 atoms:
K: 0.0000 0.0000 0.0000  4 Pb 3.67, 4 Cd 3.67
Ba: 0.5000 0.5000 0.5000  4 Pb 3.67, 4 Cd 3.67
Cd: 0.2500 0.2500 0.2500  4 Ba 3.67, 4 K 3.67
Pb: 0.7500 0.7500 0.7500  4 K 3.67, 4 Ba 3.67

Summary:
Energy of formation in kJ per mole of atoms: -22.7
Magnetization in μB per cell: 0.00
SG: No. 216

***

- What is the formula in the first record?
  K2BaCdOs